DFT (PBE) results for a relaxed NaCa3H6Rh2 crystal.

a b c (Å): 5.2483 5.2483 6.4698
angles (deg): 90.00 90.00 120.00
Space group P-3m1 (No. 164)
Unique sites:
Na (0.0000, 0.0000, 0.0000) x1
Ca (0.0000, 0.0000, 0.5000) x1
Ca (0.3333, 0.6667, 0.2004) x2
H (0.1756, 0.3512, 0.7903) x6
Rh (0.3333, 0.6667, 0.6534) x2

Output
The calculation puts the energy at -3.9294 eV per atom. Its crystal system is trigonal.